VASP calculation (PBE with a Hubbard U) on crystalline Li5Mn2CoO8 at its relaxed geometry.

Geometry as POSCAR:
```
Li5Mn2CoO8
1.0
3.8622 -4.1308 1.3631
4.8096 1.3231 2.9926
-0.9176 -1.2455 4.7021
Li Mn Co O
5 2 1 8
Direct
0.5000 0.0000 0.5000
0.2512 0.2512 0.9954
0.7488 0.7488 0.0046
0.0000 0.5000 0.5000
0.5000 0.5000 0.5000
0.7463 0.2537 0.0000
0.2537 0.7463 0.0000
0.0000 0.0000 0.5000
0.3870 0.3870 0.2184
0.1244 0.6522 0.7521
0.6522 0.1244 0.7521
0.8900 0.8900 0.2423
0.6130 0.6130 0.7816
0.3478 0.8756 0.2479
0.8756 0.3478 0.2479
0.1100 0.1100 0.7577
```

Summary:
- density (g cm⁻³) = 4.0
- size of the total moment (μB per cell) = 5.959
- symmetry = C2/m (12)
- total energy (eV/atom) = -6.024